Record 1
This record from Alexandria describes Ni2RhCl6 after structural relaxation. The functional is PBE.

## Properties
- E_form (uncorrected) (eV/f.u.) = -4.55

Cell: 3.461 6.840 9.619 Å, 109.09 90.00 104.65°
Site moments in Bohr magnetons follow the coordinates.
Positions (direct):
Ni (0.685, 0.370, 0.852)  1.25
Ni (0.315, 0.630, 0.148)  1.25
Rh (0.000, 0.000, 0.500)  -0.04
Cl (0.312, 0.623, 0.895)  0.17
Cl (0.688, 0.377, 0.105)  0.17
Cl (0.946, 0.891, 0.236)  0.09
Cl (0.626, 0.252, 0.512)  0.00
Cl (0.054, 0.109, 0.764)  0.09
Cl (0.374, 0.748, 0.488)  0.00

***

Record 2
This record from Alexandria describes NiRhCl after structural relaxation. The functional is PBE.

## Properties
- E_form (uncorrected) (eV/f.u.) = 1.16
- offset from the most stable computed form (kJ per mole of atoms) = 10.4

Cell: 6.535 6.167 2.961 Å, 83.55 69.68 26.76°
Site moments in Bohr magnetons follow the coordinates.
Positions (direct):
Cl (0.989, 0.989, 0.011)  0.02
Ni (0.338, 0.338, 0.662)  0.42
Rh (0.673, 0.673, 0.327)  0.13

***

Record 3
This record from Alexandria describes NiRhCl2 after structural relaxation. The functional is PBE.

## Properties
- E_form (uncorrected) (eV/f.u.) = 0.68
- offset from the most stable computed form (kJ per mole of atoms) = 30.7

Cell: 5.665 5.665 3.127 Å, 92.52 92.52 42.36°
Site moments in Bohr magnetons follow the coordinates.
Positions (direct):
Ni (0.487, 0.487, 0.368)  0.30
Rh (0.254, 0.254, 0.220)  0.05
Cl (0.021, 0.021, 0.197)  0.01
Cl (0.739, 0.739, 0.715)  0.00

***

| no. | total moment (μB/atom) | electronic total energy (eV per cell) |
| --- | --- | --- |
| 1 | 0.3448 | -34.55 |
| 2 | 0.1886 | -13.82 |
| 3 | 0.0880 | -16.15 |